This record from Alexandria via LeMat-Bulk describes a geometry-optimized AcAlCu3 structure. The functional is PBE-GGA.

Properties
- energy of formation from the pure elements (meV/atom) = -202

Cell lengths 5.4030, 9.0628, 8.1297 Å; angles 90.00, 90.00, 90.00 degrees
With the nearest neighbours (Å) after each atom.
Space group Imma (No. 74)
Asymmetric unit:
Ac  0.0000  0.2500  0.0583 [4 per cell]  11 Cu 3.16-3.43
Al  0.0000  0.0000  0.5000 [4 per cell]  6 Cu 2.47-2.55
Cu  0.0000  0.2500  0.6443 [4 per cell]  4 Cu 2.49, 2 Al 2.55
Cu  0.2500  0.0393  0.7500 [8 per cell]  2 Al 2.47, 4 Cu 2.49-2.70

This record from Alexandria via LeMat-Bulk describes a geometry-optimized CsKInSn structure. The functional is PBE-GGA.

Properties
- energy of formation from the pure elements (meV/atom) = -33

Cell lengths 8.4486, 8.4486, 8.4486 Å; angles 90.00, 90.00, 90.00 degrees
With the nearest neighbours (Å) after each atom.
Space group F-43m (No. 216)
Asymmetric unit:
Cs  0.0000  0.0000  0.0000 [4 per cell]  4 In 3.66, 4 K 3.66
K  0.2500  0.2500  0.2500 [4 per cell]  4 Sn 3.66, 4 Cs 3.66
In  0.2500  0.2500  0.7500 [4 per cell]  4 Sn 3.66, 4 Cs 3.66
Sn  0.0000  0.0000  0.5000 [4 per cell]  4 In 3.66, 4 K 3.66

This record from Alexandria via LeMat-Bulk describes a geometry-optimized Sc6HC2S3 structure. The functional is PBE-GGA.

Properties
- DFT total energy (eV per formula unit) = -87.4

Cell lengths 15.2920, 3.4852, 7.1274 Å; angles 90.00, 104.51, 90.00 degrees
With the nearest neighbours (Å) after each atom.
Space group C2/m (No. 12)
Asymmetric unit:
Sc  0.0142  0.0000  0.2582 [4 per cell]  1 C 2.24, 2 S 2.50, 2 H 2.50
Sc  0.1672  0.5000  0.1181 [4 per cell]  2 C 2.31, 1 H 2.48, 1 S 2.56
Sc  0.1761  0.5000  0.5611 [4 per cell]  3 C 2.35-2.37, 1 S 2.62
H  0.0000  0.5000  0.0000 [2 per cell]  6 Sc 2.48-2.50
C  0.1658  0.0000  0.3310 [4 per cell]  6 Sc 2.24-2.37
S  0.0000  0.5000  0.5000 [2 per cell]  6 Sc 2.50-2.62
S  0.1617  0.0000  0.8361 [4 per cell]  6 Sc 2.56-2.67

This record from Alexandria via LeMat-Bulk describes a geometry-optimized ZnIn2As structure. The functional is PBE-GGA.

Properties
- energy of formation from the pure elements (meV/atom) = 96

Cell lengths 3.3415, 3.6888, 7.4530 Å; angles 90.00, 90.00, 90.00 degrees
With the nearest neighbours (Å) after each atom.
Space group Pmm2 (No. 25)
Asymmetric unit:
Zn  0.0000  0.0000  0.0000 [1 per cell]  4 As 2.73
In  0.0000  0.0000  0.4249 [1 per cell]  1 Zn 3.17, 4 As 3.21, 6 In 3.34-3.44
In  0.5000  0.5000  0.7433 [1 per cell]  1 As 3.04, 4 Zn 3.14, 2 In 3.34
As  0.5000  0.5000  0.1518 [1 per cell]  4 Zn 2.73, 1 In 3.04

This record from Alexandria via LeMat-Bulk describes a geometry-optimized Fe2SiMo structure. The functional is PBE-GGA.

Properties
- DFT total energy (eV per formula unit) = -33.7

Cell lengths 3.0917, 3.9918, 8.0135 Å; angles 90.00, 90.00, 90.00 degrees
With the nearest neighbours (Å) after each atom.
Space group Immm (No. 71)
Asymmetric unit:
Fe  0.0000  0.0000  0.2418 [4 per cell]  2 Si 2.48, 4 Fe 2.53, 2 Mo 2.58
Si  0.0000  0.5000  0.5000 [2 per cell]  4 Fe 2.48, 4 Mo 2.52
Mo  0.0000  0.5000  0.0000 [2 per cell]  4 Si 2.52, 8 Fe 2.58-2.78

This record from Alexandria via LeMat-Bulk describes a geometry-optimized Na2Zn3Ga2 structure. The functional is PBE-GGA.

Properties
- energy of formation from the pure elements (meV/atom) = -60

Cell lengths 10.7274, 4.3422, 6.8427 Å; angles 90.00, 118.65, 90.00 degrees
With the nearest neighbours (Å) after each atom.
Space group C2/m (No. 12)
Asymmetric unit:
Na  0.1583  0.0000  0.2763 [4 per cell]  5 Zn 3.02-3.27, 4 Ga 3.06-3.28
Zn  0.0000  0.5000  0.5000 [2 per cell]  2 Zn 2.64, 4 Ga 2.66
Zn  0.1009  0.5000  0.9365 [4 per cell]  2 Zn 2.64-2.69, 3 Ga 2.68
Ga  0.1298  0.0000  0.7324 [4 per cell]  5 Zn 2.66-2.68

Which formula does entry 3 have? Sc6HC2S3